VASP calculation (PBE+U) on a geometry-optimized Mn3SiO6 structure.

Results
The excess energy over the best structure of this formula in the dataset comes out at 0 meV/atom. The value obtained for the total energy is -76.40 eV/f.u. The value obtained for the density is 4246 kg/m³.

Lattice parameters (Å, degrees): 8.2638 11.0598 4.9451 90.00 90.00 90.00
Last column: nearest neighbours and their distance in Å.
Space group Cmc2_1 (No. 36)
One atom of each set of equivalent atoms:
Mn (0.0000, 0.0875, 0.0000) [4 per cell]  6 O 2.09-2.33
Mn (0.1916, 0.3976, 0.9432) [8 per cell]  4 O 1.91-2.12
Si (0.0000, 0.2934, 0.3877) [4 per cell]  4 O 1.64-1.68
O (0.0000, 0.3213, 0.7146) [4 per cell]  1 Si 1.65
O (0.0000, 0.4231, 0.2110) [4 per cell]  1 Si 1.68
O (0.1543, 0.2185, 0.2641) [8 per cell]  1 Si 1.64
O (0.1707, 0.0335, 0.7129) [8 per cell]  2 Mn 1.91-2.09